Version one
Density functional theory data (PBE-GGA) for Ti2Mo2W after structural relaxation.

Values from the calculation:
- SG: C2/m (12)

a b c (Å): 4.469 4.478 11.462
angles (deg): 54.13 78.76 60.07
Fractional coordinates of all 10 atoms:
W 0.250 0.750 0.250
Mo 0.048 0.758 0.645
Ti 0.353 0.235 0.559
Mo 0.952 0.242 0.355
Ti 0.853 0.735 0.059
Mo 0.451 0.742 0.855
Ti 0.647 0.765 0.441
W 0.750 0.250 0.750
Mo 0.549 0.258 0.145
Ti 0.147 0.265 0.941

=====

Version two
Density functional theory data (PBE-GGA) for Ti2Mo2W after structural relaxation.

Values from the calculation:
- SG: Cmc2_1 (36)

a b c (Å): 4.547 5.345 7.073
angles (deg): 90.00 108.75 90.00
Fractional coordinates of all 10 atoms:
Ti 0.193 0.890 0.385
W 0.604 0.557 0.209
Mo 0.600 0.053 0.201
W 0.396 0.057 0.791
Ti 0.006 0.232 0.013
Ti 0.994 0.732 0.987
Mo 0.196 0.403 0.391
Mo 0.804 0.903 0.609
Mo 0.400 0.553 0.799
Ti 0.807 0.390 0.615

=====

Energies relative to the most stable structure are version one 0.0; version two 20.3, reported in kJ/mol of atoms.